# 1
# NaZrB

A geometry-optimized NaZrB structure (GGA-PBE, the Alexandria database). Values from VASP.

Structure (Quantum ESPRESSO input):
```
&SYSTEM
  ibrav = 0, nat = 6, ntyp = 3
/
ATOMIC_SPECIES
Na 22.99 Na.upf
B 10.81 B.upf
Zr 91.22 Zr.upf
ATOMIC_POSITIONS crystal
Na 0.0000 0.5000 0.1631
Na 0.5000 0.0000 0.8369
B 0.0000 0.0000 0.5000
B 0.5000 0.5000 0.5000
Zr 0.0000 0.5000 0.6107
Zr 0.5000 0.0000 0.3893
CELL_PARAMETERS angstrom
4.3482 0.0000 0.0000
0.0000 4.3482 0.0000
0.0000 0.0000 7.1565
```

---

# 2
# NaZrB

A geometry-optimized NaZrB structure (GGA-PBE, the Alexandria database). Values from VASP.

Structure (Quantum ESPRESSO input):
```
&SYSTEM
  ibrav = 0, nat = 6, ntyp = 3
/
ATOMIC_SPECIES
Na 22.99 Na.upf
B 10.81 B.upf
Zr 91.22 Zr.upf
ATOMIC_POSITIONS crystal
Na 0.3333 0.6667 0.2500
Na 0.6667 0.3333 0.7500
B 0.0000 0.0000 0.2500
B 0.0000 0.0000 0.7500
Zr 0.0000 0.0000 0.0000
Zr 0.0000 0.0000 0.5000
CELL_PARAMETERS angstrom
-0.2034 3.1954 3.4378
-0.9419 -4.5086 0.9250
8.8094 -1.4559 1.8744
```

---

# 3
# NaZrB

A geometry-optimized NaZrB structure (GGA-PBE, the Alexandria database). Values from VASP.

Structure (Quantum ESPRESSO input):
```
&SYSTEM
  ibrav = 0, nat = 6, ntyp = 3
/
ATOMIC_SPECIES
Na 22.99 Na.upf
B 10.81 B.upf
Zr 91.22 Zr.upf
ATOMIC_POSITIONS crystal
Na 0.0000 0.0000 0.0000
Na 0.0000 0.0000 0.5000
B 0.3333 0.6667 0.7500
B 0.6667 0.3333 0.2500
Zr 0.3333 0.6667 0.2500
Zr 0.6667 0.3333 0.7500
CELL_PARAMETERS angstrom
1.2784 3.9769 -1.7604
-3.2569 -0.1423 3.1498
3.6669 0.5098 3.8146
```

---

# 4
# NaZrB

A geometry-optimized NaZrB structure (GGA-PBE, the Alexandria database). Values from VASP.

Structure (Quantum ESPRESSO input):
```
&SYSTEM
  ibrav = 0, nat = 6, ntyp = 3
/
ATOMIC_SPECIES
Na 22.99 Na.upf
B 10.81 B.upf
Zr 91.22 Zr.upf
ATOMIC_POSITIONS crystal
Na 0.2313 0.5000 0.6127
Na 0.7337 0.0000 0.3520
B 0.2316 0.8328 0.0597
B 0.2316 0.1672 0.0597
Zr 0.7307 0.0000 0.8595
Zr 0.7316 0.5000 0.1031
CELL_PARAMETERS angstrom
-0.1461 -2.7695 1.8084
5.1092 -1.1241 -1.3088
2.2261 3.5700 5.6237
```

---

# 5
# NaZrB

A geometry-optimized NaZrB structure (GGA-PBE, the Alexandria database). Values from VASP.

Structure (Quantum ESPRESSO input):
```
&SYSTEM
  ibrav = 0, nat = 12, ntyp = 3
/
ATOMIC_SPECIES
Na 22.99 Na.upf
B 10.81 B.upf
Zr 91.22 Zr.upf
ATOMIC_POSITIONS crystal
Na 0.0447 0.2500 0.8629
Na 0.4553 0.7500 0.3629
Na 0.9553 0.7500 0.1371
Na 0.5447 0.2500 0.6371
B 0.8477 0.2500 0.4030
B 0.6523 0.7500 0.9030
B 0.1523 0.7500 0.5970
B 0.3477 0.2500 0.0970
Zr 0.1536 0.2500 0.4051
Zr 0.3464 0.7500 0.9051
Zr 0.8464 0.7500 0.5949
Zr 0.6536 0.2500 0.0949
CELL_PARAMETERS angstrom
-1.6301 -3.2460 6.8124
4.1103 -0.9317 0.5396
0.8875 5.5777 2.8701
```

---

# 6
# NaZrB

A geometry-optimized NaZrB structure (GGA-PBE, the Alexandria database). Values from VASP.

Structure (Quantum ESPRESSO input):
```
&SYSTEM
  ibrav = 0, nat = 12, ntyp = 3
/
ATOMIC_SPECIES
Na 22.99 Na.upf
B 10.81 B.upf
Zr 91.22 Zr.upf
ATOMIC_POSITIONS crystal
Na 0.7538 0.2500 0.4256
Na 0.7462 0.7500 0.9256
Na 0.2462 0.7500 0.5744
Na 0.2538 0.2500 0.0744
B 0.9948 0.2500 0.7499
B 0.5052 0.7500 0.2499
B 0.0052 0.7500 0.2501
B 0.4948 0.2500 0.7501
Zr 0.2553 0.2500 0.3175
Zr 0.2447 0.7500 0.8175
Zr 0.7447 0.7500 0.6825
Zr 0.7553 0.2500 0.1825
CELL_PARAMETERS angstrom
5.9549 0.0000 0.0000
0.0000 3.2427 0.0000
0.0000 0.0000 13.2730
```

---

# 7
# NaZrB

A geometry-optimized NaZrB structure (GGA-PBE, the Alexandria database). Values from VASP.

Structure (Quantum ESPRESSO input):
```
&SYSTEM
  ibrav = 0, nat = 6, ntyp = 3
/
ATOMIC_SPECIES
Na 22.99 Na.upf
B 10.81 B.upf
Zr 91.22 Zr.upf
ATOMIC_POSITIONS crystal
Na 0.0000 0.5000 0.6386
Na 0.5000 0.0000 0.3614
B 0.0000 0.5000 0.8812
B 0.5000 0.0000 0.1188
Zr 0.0000 0.5000 0.1036
Zr 0.5000 0.0000 0.8964
CELL_PARAMETERS angstrom
3.4532 0.0000 0.0000
0.0000 3.4532 0.0000
0.0000 0.0000 10.8978
```

---

# 8
# NaZrB

A geometry-optimized NaZrB structure (GGA-PBE, the Alexandria database). Values from VASP.

Structure (Quantum ESPRESSO input):
```
&SYSTEM
  ibrav = 0, nat = 3, ntyp = 3
/
ATOMIC_SPECIES
Na 22.99 Na.upf
B 10.81 B.upf
Zr 91.22 Zr.upf
ATOMIC_POSITIONS crystal
Na 0.6667 0.3333 0.5000
B 0.0000 0.0000 0.0000
Zr 0.3333 0.6667 0.0000
CELL_PARAMETERS angstrom
3.3825 -1.9529 0.0000
0.0000 3.9058 0.0000
0.0000 0.0000 5.1065
```

---

# 9
# NaZrB3

A geometry-optimized NaZrB3 structure (GGA-PBE, the Alexandria database). Values from VASP.

Structure (Quantum ESPRESSO input):
```
&SYSTEM
  ibrav = 0, nat = 5, ntyp = 3
/
ATOMIC_SPECIES
Na 22.99 Na.upf
B 10.81 B.upf
Zr 91.22 Zr.upf
ATOMIC_POSITIONS crystal
Na 0.0000 0.0000 0.0000
B 0.0000 0.5000 0.0000
B 0.0000 0.0000 0.5000
B 0.5000 0.0000 0.0000
Zr 0.5000 0.5000 0.5000
CELL_PARAMETERS angstrom
4.0717 0.0000 0.0000
0.0000 4.0717 0.0000
0.0000 0.0000 4.0717
```

---

# 10
# NaZr2B2

A geometry-optimized NaZr2B2 structure (GGA-PBE, the Alexandria database). Values from VASP.

Structure (Quantum ESPRESSO input):
```
&SYSTEM
  ibrav = 0, nat = 10, ntyp = 3
/
ATOMIC_SPECIES
Na 22.99 Na.upf
B 10.81 B.upf
Zr 91.22 Zr.upf
ATOMIC_POSITIONS crystal
Na 0.0000 0.0000 0.0000
Na 0.5000 0.5000 0.0000
B 0.1635 0.6635 0.5000
B 0.6635 0.8365 0.5000
B 0.8365 0.3365 0.5000
B 0.3365 0.1635 0.5000
Zr 0.3602 0.8602 0.0000
Zr 0.8602 0.6398 0.0000
Zr 0.6398 0.1398 0.0000
Zr 0.1398 0.3602 0.0000
CELL_PARAMETERS angstrom
-0.4888 -7.3511 -0.1467
4.5822 -0.1896 -5.7677
2.2344 -0.1841 1.7812
```

---

# 11
# NaZr2B

A geometry-optimized NaZr2B structure (GGA-PBE, the Alexandria database). Values from VASP.

Structure (Quantum ESPRESSO input):
```
&SYSTEM
  ibrav = 0, nat = 8, ntyp = 3
/
ATOMIC_SPECIES
Na 22.99 Na.upf
B 10.81 B.upf
Zr 91.22 Zr.upf
ATOMIC_POSITIONS crystal
Na 0.0000 0.0000 0.0000
Na 0.7500 0.2500 0.5000
B 0.5000 0.5000 0.0000
B 0.2500 0.7500 0.5000
Zr 0.5421 0.1250 0.2500
Zr 0.2079 0.6250 0.2500
Zr 0.3750 0.4579 0.7500
Zr 0.8750 0.7921 0.7500
CELL_PARAMETERS angstrom
7.4083 0.0000 0.0000
0.0000 7.4083 0.0000
3.7041 3.7041 2.9806
```

---

# 12
# NaZrB

A geometry-optimized NaZrB structure (GGA-PBE, the Alexandria database). Values from VASP.

Structure (Quantum ESPRESSO input):
```
&SYSTEM
  ibrav = 0, nat = 6, ntyp = 3
/
ATOMIC_SPECIES
Na 22.99 Na.upf
B 10.81 B.upf
Zr 91.22 Zr.upf
ATOMIC_POSITIONS crystal
Na 0.6338 0.6680 0.7648
Na 0.3662 0.3320 0.2352
B 0.0497 0.4061 0.1676
B 0.9503 0.5939 0.8324
Zr 0.8882 0.9032 0.2583
Zr 0.1118 0.0968 0.7417
CELL_PARAMETERS angstrom
10.1656 -0.1920 -0.0043
0.3257 3.3566 0.0653
-0.1444 1.5191 4.0138
```

---

E_form
In order: 18; 128; 28; 20; 20; 31; -1; 64; 191; 29; 47; 0
Unit: kJ per mole of atoms
Calculated volume
In order: 22.55; 29.06; 15.77; 20.90; 17.32; 21.36; 21.66; 22.49; 13.50; 15.55; 20.45; 22.70
Unit: Å³/atom